Density functional theory data (PBE) for crystalline NbAlNi2 at its relaxed geometry.

Geometry as POSCAR:
```
NbAlNi2
1.0
-0.815 -1.663 2.099
0.996 -2.225 -1.376
5.992 0.834 2.988
Ni Al Nb
2 1 1
Cartesian
4.681 0.652 2.335
1.310 0.182 0.654
0.090 -1.944 0.361
3.086 -1.527 1.856
```

Summary:
Crystal system: tetragonal
Volume, Å³/atom: 13.22
Energy of formation from the pure elements, eV/f.u.: -1.8
Space-group type: P4/mmm, No. 123

=====

Density functional theory data (PBE) for crystalline Nb3Al2Ni6 at its relaxed geometry.

Geometry as POSCAR:
```
Nb3Al2Ni6
1.0
-2.664 -5.471 -3.937
6.108 -2.127 3.269
-4.860 1.966 5.004
Al Ni Nb
4 12 6
Cartesian
-1.332 -2.735 -1.968
-2.430 0.983 2.502
3.054 -1.064 1.635
-0.708 -2.816 2.168
-4.100 -0.607 1.910
0.371 -4.314 -1.443
0.756 -4.363 1.104
-3.424 -2.897 -0.843
-3.040 -2.947 1.705
-1.064 0.550 4.404
1.624 -2.685 2.632
-0.004 -1.790 4.198
-2.172 -1.268 3.232
2.313 -0.711 3.870
-1.412 -3.842 0.138
3.073 -3.284 0.776
0.324 -0.042 2.145
0.893 -1.970 -0.173
-1.951 -0.909 0.277
2.551 -5.628 -0.494
-5.574 -2.596 0.791
0.925 -0.119 6.129
```

Summary:
Crystal system: cubic
Volume, Å³/atom: 13.32
Energy of formation from the pure elements, eV/f.u.: -4.0
Space-group type: Im-3m, No. 229

=====

Density functional theory data (PBE) for crystalline Nb2AlNi3 at its relaxed geometry.

Geometry as POSCAR:
```
Nb2AlNi3
1.0
-3.982 -2.803 -0.773
4.225 -1.024 -2.327
2.114 -4.621 5.872
Nb Ni Al
4 6 2
Cartesian
2.671 -4.200 1.473
3.479 -5.966 3.718
-0.314 -4.249 1.300
-1.122 -2.482 -0.945
1.062 -6.461 2.236
1.413 -3.845 -0.967
3.345 -2.485 -0.592
0.944 -4.604 3.740
1.295 -1.988 0.537
-0.988 -5.964 3.365
0.000 0.000 0.000
1.057 -2.311 2.936
```

Summary:
Crystal system: hexagonal
Volume, Å³/atom: 13.63
Energy of formation from the pure elements, eV/f.u.: -2.1
Space-group type: P6_3/mmc, No. 194

=====

Density functional theory data (PBE) for crystalline NbAlNi5 at its relaxed geometry.

Geometry as POSCAR:
```
NbAlNi5
1.0
-1.379 -3.396 0.698
0.717 -1.014 -3.519
5.922 -2.035 1.793
Ni Nb Al
5 1 1
Cartesian
3.884 -3.270 1.733
2.630 -3.223 -0.514
1.707 -0.970 -1.351
0.659 -2.162 0.757
4.931 -2.079 -0.375
2.961 -1.018 0.896
-0.331 -2.205 -1.411
```

Summary:
Crystal system: tetragonal
Volume, Å³/atom: 12.95
Energy of formation from the pure elements, eV/f.u.: -1.6
Space-group type: P4/mmm, No. 123

=====

Density functional theory data (PBE) for crystalline NbAl2Ni3 at its relaxed geometry.

Geometry as POSCAR:
```
NbAl2Ni3
1.0
-1.896 0.138 2.124
-1.409 -2.213 -1.114
5.314 -5.966 5.129
Al Ni Nb
2 3 1
Cartesian
-0.827 -1.964 1.302
2.836 -6.077 4.838
0.000 0.000 0.000
3.703 -4.157 3.574
1.611 -1.809 1.555
1.005 -4.020 3.070
```

Summary:
Crystal system: tetragonal
Volume, Å³/atom: 12.85
Energy of formation from the pure elements, eV/f.u.: -3.0
Space-group type: P4/mmm, No. 123

=====

Density functional theory data (PBE) for crystalline Nb12Al3Ni at its relaxed geometry.

Geometry as POSCAR:
```
Nb12Al3Ni
1.0
-1.066 -1.916 4.712
-0.159 -4.784 -1.981
10.147 -1.102 1.847
Nb Al Ni
12 3 1
Cartesian
0.771 -1.099 2.594
-0.875 -3.821 2.526
2.545 -1.474 -0.024
7.443 -4.412 -0.110
-0.350 -2.878 0.206
4.732 -3.413 1.089
5.765 -1.642 3.503
4.189 -4.389 3.490
3.316 -1.376 3.057
8.309 -1.918 3.966
7.522 -2.015 0.883
2.465 -3.871 -1.016
1.907 -3.623 1.825
7.015 -4.178 2.755
0.000 0.000 0.000
5.073 -0.551 0.924
```

Summary:
Crystal system: orthorhombic
Volume, Å³/atom: 17.45
Energy of formation from the pure elements, eV/f.u.: -2.7
Space-group type: Pmmm, No. 47

=====

Density functional theory data (PBE) for crystalline NbAl2Ni at its relaxed geometry.

Geometry as POSCAR:
```
NbAl2Ni
1.0
-3.408 -2.755 5.333
5.972 -2.177 2.692
1.515 -0.181 5.342
Nb Al Ni
2 4 2
Cartesian
-0.306 -2.701 7.344
0.000 0.000 0.000
2.366 -2.083 7.137
-0.852 -1.916 4.765
3.111 -4.353 10.908
3.532 -1.874 3.924
1.282 -2.466 4.012
4.384 -2.412 6.023
```

Summary:
Crystal system: tetragonal
Volume, Å³/atom: 15.81
Energy of formation from the pure elements, eV/f.u.: -0.3
Space-group type: I-42d, No. 122

=====

Density functional theory data (PBE) for crystalline NbAl2Ni at its relaxed geometry.

Geometry as POSCAR:
```
NbAl2Ni
1.0
-1.010 0.689 2.594
0.826 -2.557 1.001
6.250 2.692 1.718
Al Nb Ni
2 1 1
Cartesian
1.290 0.556 0.355
4.960 2.136 1.363
3.033 0.412 2.657
-0.092 -0.934 1.798
```

Summary:
Crystal system: tetragonal
Volume, Å³/atom: 14.43
Energy of formation from the pure elements, eV/f.u.: -2.0
Space-group type: P4/mmm, No. 123